First-principles (PBE-GGA) data for an optimized crystal structure of ErNp2UP4, as listed in Alexandria via LeMat-Bulk.

For the density of states at the Fermi level, the calculation gives 18.1 states/eV/f.u. The value obtained for the calculated total energy is -72.055 eV/f.u. Its energy of formation from the pure elements is -1085 meV/atom.

It has space group P2/m (No. 10), with a = 6.806 Å, b = 3.957 Å, c = 6.887 Å, α = 90.00°, β = 109.45° and γ = 90.00°. The asymmetric unit holds Er at (0.000, 0.000, 0.000), Np at (0.500, 0.000, 0.500), Np at (0.500, 0.500, 0.000), U at (0.000, 0.500, 0.500), P at (0.249, 0.000, 0.749) and P at (0.251, 0.500, 0.252).